Computed, not measured: crystalline Rb2PaSe2O2 at its relaxed geometry at the PBE level of DFT.

As for the final energy: -5.93 eV/atom.

Cell lengths 4.4747, 4.4747, 9.6273 Å; angles 103.44, 103.44, 90.00 degrees
With the nearest neighbours (Å) after each atom.
Element x y z (fractional)
Rb 0.3578 0.3578 0.7156  4 Se 3.18, 4 O 3.42
Rb 0.6422 0.6422 0.2844  4 Se 3.18, 4 O 3.42
Pa 0.0000 0.0000 0.0000  4 O 2.24
Se 0.1579 0.1579 0.3158  1 Pa 2.87, 4 Rb 3.18
Se 0.8421 0.8421 0.6842  1 Pa 2.87, 4 Rb 3.18
O 0.0000 0.5000 0.0000  2 Pa 2.24
O 0.5000 0.0000 0.0000  2 Pa 2.24

***

Computed, not measured: crystalline Rb2PaSi3O12 at its relaxed geometry at the PBE level of DFT.

As for the final energy: -6.94 eV/atom.

Cell lengths 7.1686, 7.1686, 7.1686 Å; angles 56.71, 56.71, 56.71 degrees
With the nearest neighbours (Å) after each atom.
Element x y z (fractional)
Rb 0.6134 0.6134 0.6134  15 O 3.08-3.42
Rb 0.3866 0.3866 0.3866  15 O 3.08-3.42
Pa 0.0000 0.0000 0.0000  6 O 2.16
Si 0.5000 0.0000 0.0000  6 O 1.76-1.78
Si 0.0000 0.5000 0.0000  6 O 1.76-1.78
Si 0.0000 0.0000 0.5000  6 O 1.76-1.78
O 0.3014 0.3014 0.9253  2 Si 1.78
O 0.9198 0.9198 0.3685  1 Si 1.76
O 0.3685 0.9198 0.9198  1 Si 1.76
O 0.9253 0.3014 0.3014  2 Si 1.78
O 0.9198 0.3685 0.9198  1 Si 1.76
O 0.3014 0.9253 0.3014  2 Si 1.78
O 0.6986 0.6986 0.0747  2 Si 1.78
O 0.0802 0.0802 0.6315  1 Si 1.76
O 0.6315 0.0802 0.0802  1 Si 1.76
O 0.0747 0.6986 0.6986  2 Si 1.78
O 0.0802 0.6315 0.0802  1 Si 1.76
O 0.6986 0.0747 0.6986  2 Si 1.78

***

Computed, not measured: crystalline Rb2PaSiO6 at its relaxed geometry at the PBE level of DFT.

As for the final energy: -7.06 eV/atom.

Cell lengths 5.7516, 5.7516, 5.7518 Å; angles 60.00, 60.00, 90.00 degrees
With the nearest neighbours (Å) after each atom.
Element x y z (fractional)
Rb 0.7500 0.2500 0.5000  12 O 2.88
Rb 0.2500 0.7500 0.5000  12 O 2.88
Pa 0.0000 0.0000 0.0000  6 O 2.22
Si 0.5000 0.5000 0.0000  6 O 1.85
O 0.2726 0.2726 0.4548  1 Si 1.85
O 0.7273 0.7274 0.9999  1 Si 1.85
O 0.2726 0.7274 0.0000  1 Si 1.85
O 0.7274 0.2726 0.0000  1 Si 1.85
O 0.2727 0.2726 0.0001  1 Si 1.85
O 0.7274 0.7274 0.5452  1 Si 1.85

***

Computed, not measured: crystalline RbPa2SnO8 at its relaxed geometry at the PBE level of DFT.

As for the final energy: -7.84 eV/atom.

Cell lengths 5.0396, 5.0388, 7.6483 Å; angles 90.00, 90.00, 88.06 degrees
With the nearest neighbours (Å) after each atom.
Element x y z (fractional)
Rb 0.0000 0.0000 0.5000  6 O 2.58-2.74
Pa 0.5000 0.5000 0.7691  6 O 2.07-2.31
Pa 0.5000 0.5000 0.2309  6 O 2.07-2.31
Sn 0.0000 0.0000 0.0000  6 O 2.09-2.20
O 0.2070 0.7922 0.1959  1 Pa 2.07, 1 Sn 2.09
O 0.6961 0.6968 0.0000  1 Sn 2.20, 2 Pa 2.27
O 0.7930 0.2078 0.1959  1 Pa 2.07, 1 Sn 2.09
O 0.7930 0.2078 0.8041  1 Pa 2.07, 1 Sn 2.09
O 0.3039 0.3032 0.0000  1 Sn 2.20, 2 Pa 2.27
O 0.2070 0.7922 0.8041  1 Pa 2.07, 1 Sn 2.09
O 0.6439 0.6453 0.5000  1 O 2.10, 2 Pa 2.31
O 0.3561 0.3547 0.5000  1 O 2.10, 2 Pa 2.31

***

Computed, not measured: crystalline RbPaSnO6 at its relaxed geometry at the PBE level of DFT.

As for the final energy: -6.85 eV/atom.

Cell lengths 5.7064, 5.7064, 12.6157 Å; angles 90.00, 90.00, 120.00 degrees
With the nearest neighbours (Å) after each atom.
Element x y z (fractional)
Rb 0.0000 0.0000 0.0000  6 O 2.96
Rb 0.0000 0.0000 0.5000  6 O 2.96
Pa 0.3333 0.6667 0.2500  6 O 2.14
Pa 0.6667 0.3333 0.7500  6 O 2.14
Sn 0.6667 0.3333 0.2500  6 O 2.10
Sn 0.3333 0.6667 0.7500  6 O 2.10
O 0.6209 0.6159 0.1587  1 Sn 2.10, 1 Pa 2.14
O 0.9950 0.3791 0.1587  1 Sn 2.10, 1 Pa 2.14
O 0.3791 0.9950 0.6587  1 Sn 2.10, 1 Pa 2.14
O 0.0050 0.6209 0.8413  1 Sn 2.10, 1 Pa 2.14
O 0.3841 0.3791 0.3413  1 Sn 2.10, 1 Pa 2.14
O 0.9950 0.6159 0.3413  1 Sn 2.10, 1 Pa 2.14
O 0.6159 0.9950 0.8413  1 Sn 2.10, 1 Pa 2.14
O 0.6209 0.0050 0.3413  1 Sn 2.10, 1 Pa 2.14
O 0.0050 0.3841 0.6587  1 Sn 2.10, 1 Pa 2.14
O 0.3841 0.0050 0.1587  1 Sn 2.10, 1 Pa 2.14
O 0.6159 0.6209 0.6587  1 Sn 2.10, 1 Pa 2.14
O 0.3791 0.3841 0.8413  1 Sn 2.10, 1 Pa 2.14

***

Computed, not measured: crystalline RbPaSn2O8 at its relaxed geometry at the PBE level of DFT.

As for the final energy: -6.47 eV/atom.

Cell lengths 6.4232, 6.4232, 6.4232 Å; angles 109.78, 109.78, 108.86 degrees
With the nearest neighbours (Å) after each atom.
Element x y z (fractional)
Rb 0.0000 0.0000 0.0000  4 O 2.57
Pa 0.2500 0.7500 0.5000  8 O 2.22-2.44
Sn 0.7500 0.2500 0.5000  4 O 1.95
Sn 0.5000 0.5000 0.0000  4 O 2.01
O 0.3832 0.0381 0.3451  1 Sn 1.95
O 0.3304 0.5418 0.2113  1 Sn 2.01, 1 Pa 2.22
O 0.3304 0.1191 0.7887  1 Sn 2.01, 1 Pa 2.22
O 0.6931 0.0381 0.6550  1 Sn 1.95
O 0.8809 0.6696 0.2113  1 Sn 2.01, 1 Pa 2.22
O 0.9619 0.3069 0.3451  1 Sn 1.95
O 0.9619 0.6168 0.6550  1 Sn 1.95
O 0.4582 0.6696 0.7887  1 Sn 2.01, 1 Pa 2.22

***

It is found that the calculated density values, taken in the order of the records, are 5.399; 4.679; 6.492; 6.795; 4.959; 5.551 g/cm3.
It is found that the energy relative to the elements, uncorrected values, taken in the order of the records, are -1.88; -2.09; -2.40; -2.54; -1.94; -1.62 eV/atom.
It is found that the V values, taken in the order of the records, are 26.0; 13.4; 13.5; 16.2; 19.8; 17.0 Å³ per atom.